A geometry-optimized NaPbF4 structure. Source: Alexandria via LeMat-Bulk, functional PBE.

a b c (Å): 6.3468 5.3835 6.5825
angles (deg): 90.00 112.66 90.00
Space group P2_1/c (No. 14)
Unique sites:
Na 0.0000 0.0000 0.0000
Pb 0.5000 0.0000 0.5000
F 0.1687 0.1949 0.3536
F 0.3606 0.7106 0.6715

## Properties
- Total magnetic moment: 0.00 μB/f.u.
- Formation energy from raw total energies: -2.304 eV/atom
- Raw total energy: -4.3891 eV/atom
- Polymorph energy (0 for the lowest one): 0.017 eV per atom